Record 1
{"formula": "RuRhCl", "functional": "PBE", "state": "optimized geometry", "lattice": [[6.026, -0.013, 0.000], [4.648, 3.836, 0.000], [-5.337, -1.912, 2.044]], "species": ["Cl", "Rh", "Ru"], "frac_coords": [[0.015, 0.015, 0.000], [0.313, 0.313, 0.000], [0.672, 0.672, 0.000]], "dos_at_fermi_per_ev_atom": 1.072, "e_form_raw_ev_per_atom": 0.4813, "energy_ev_per_atom": -5.6767}

Record 2
{"formula": "RuRhCl2", "functional": "PBE", "state": "optimized geometry", "lattice": [[4.398, 0.000, 0.000], [0.000, 4.398, 0.000], [0.000, 0.000, 3.139]], "species": ["Ru", "Rh", "Cl", "Cl"], "frac_coords": [[0.000, 0.500, 0.500], [0.500, 0.000, 0.500], [0.000, 0.000, 0.000], [0.500, 0.500, 0.000]], "dos_at_fermi_per_ev_atom": 1.505, "e_form_raw_ev_per_atom": 0.8213, "energy_ev_per_atom": -4.2588}

Record 3
{"formula": "RuRhCl2", "functional": "PBE", "state": "optimized geometry", "lattice": [[-2.948, -2.314, -1.582], [1.869, -0.799, -2.313], [1.459, -3.902, 2.987]], "species": ["Ru", "Rh", "Cl", "Cl"], "frac_coords": [[0.500, 0.750, 0.750], [0.500, 0.250, 0.250], [0.000, 0.983, 0.996], [0.000, 0.517, 0.504]], "dos_at_fermi_per_ev_atom": 1.202, "e_form_raw_ev_per_atom": 0.5549, "energy_ev_per_atom": -4.5252}

Record 4
{"formula": "RuRhCl2", "functional": "PBE", "state": "optimized geometry", "lattice": [[4.495, 0.000, 0.000], [2.248, 3.893, 0.000], [2.248, 1.298, 3.670]], "species": ["Ru", "Rh", "Cl", "Cl"], "frac_coords": [[0.750, 0.750, 0.750], [0.500, 0.500, 0.500], [0.000, 0.000, 0.000], [0.250, 0.250, 0.250]], "dos_at_fermi_per_ev_atom": 1.375, "e_form_raw_ev_per_atom": 0.8449, "energy_ev_per_atom": -4.2353}

Record 5
{"formula": "RuRhCl", "functional": "PBE", "state": "optimized geometry", "lattice": [[3.955, 0.000, 0.000], [-1.977, 3.425, 0.000], [0.000, 0.000, 3.410]], "species": ["Cl", "Rh", "Ru"], "frac_coords": [[0.000, 0.000, 0.977], [0.667, 0.333, 0.341], [0.333, 0.667, 0.682]], "dos_at_fermi_per_ev_atom": 1.154, "e_form_raw_ev_per_atom": 0.6598, "energy_ev_per_atom": -5.4982}

Record 6
{"formula": "RuRhCl2", "functional": "PBE", "state": "optimized geometry", "lattice": [[3.043, 0.003, 0.000], [-1.700, 2.525, 0.000], [0.000, 0.000, 9.538]], "species": ["Ru", "Rh", "Cl", "Cl"], "frac_coords": [[0.500, 0.500, 0.745], [0.000, 0.000, 0.508], [0.000, 0.000, 0.941], [0.500, 0.500, 0.306]], "dos_at_fermi_per_ev_atom": 1.540, "e_form_raw_ev_per_atom": 0.3572, "energy_ev_per_atom": -4.7229}

Record 7
{"formula": "RuRhCl2", "functional": "PBE", "state": "optimized geometry", "lattice": [[7.191, -0.040, 0.042], [5.516, 4.614, -0.042], [-6.144, -2.869, 2.395]], "species": ["Ru", "Rh", "Cl", "Cl"], "frac_coords": [[0.297, 0.797, 0.500], [0.459, 0.459, 0.000], [0.999, 0.999, 0.000], [0.746, 0.246, 0.500]], "dos_at_fermi_per_ev_atom": 1.054, "e_form_raw_ev_per_atom": 0.4900, "energy_ev_per_atom": -4.5901}

Record 8
{"formula": "Ru4RhCl", "functional": "PBE", "state": "optimized geometry", "lattice": [[0.000, 3.634, 3.634], [3.634, 0.000, 3.634], [3.634, 3.634, 0.000]], "species": ["Ru", "Ru", "Ru", "Ru", "Rh", "Cl"], "frac_coords": [[0.625, 0.625, 0.124], [0.625, 0.124, 0.625], [0.625, 0.625, 0.625], [0.124, 0.625, 0.625], [0.000, 0.000, 0.000], [0.250, 0.250, 0.250]], "dos_at_fermi_per_ev_atom": 1.635, "e_form_raw_ev_per_atom": 1.0652, "energy_ev_per_atom": -6.6517}

Record 9
{"formula": "RuRhCl", "functional": "PBE", "state": "optimized geometry", "lattice": [[4.190, 0.000, 0.000], [2.095, 3.628, 0.000], [2.095, 1.209, 3.421]], "species": ["Cl", "Rh", "Ru"], "frac_coords": [[0.000, 0.000, 0.000], [0.500, 0.500, 0.500], [0.750, 0.750, 0.750]], "dos_at_fermi_per_ev_atom": 0.322, "e_form_raw_ev_per_atom": 0.6975, "energy_ev_per_atom": -5.4605}

Record 10
{"formula": "RuRhCl2", "functional": "PBE", "state": "optimized geometry", "lattice": [[-3.238, 0.533, -1.059], [-0.381, -2.905, -0.299], [-2.465, -0.288, 7.393]], "species": ["Ru", "Rh", "Cl", "Cl"], "frac_coords": [[0.500, 0.879, 0.713], [0.000, 0.371, 0.540], [0.000, 0.889, 0.914], [0.500, 0.361, 0.332]], "dos_at_fermi_per_ev_atom": 0.736, "e_form_raw_ev_per_atom": -0.0006, "energy_ev_per_atom": -5.0807}

Record 11
{"formula": "RuRhCl2", "functional": "PBE", "state": "optimized geometry", "lattice": [[4.307, 0.000, 0.000], [0.000, 4.307, 0.000], [2.154, 2.154, 7.446]], "species": ["Ru", "Ru", "Rh", "Rh", "Cl", "Cl", "Cl", "Cl"], "frac_coords": [[0.500, 0.500, 0.000], [0.250, 0.750, 0.500], [0.000, 0.000, 0.000], [0.750, 0.250, 0.500], [0.616, 0.125, 0.250], [0.134, 0.625, 0.250], [0.375, 0.384, 0.750], [0.875, 0.866, 0.750]], "dos_at_fermi_per_ev_atom": 1.628, "e_form_raw_ev_per_atom": 0.5568, "energy_ev_per_atom": -4.5234}

Record 12
{"formula": "RuRhCl2", "functional": "PBE", "state": "optimized geometry", "lattice": [[6.357, 0.042, -0.126], [5.656, 2.902, -0.126], [0.043, 0.011, 4.241]], "species": ["Ru", "Rh", "Cl", "Cl"], "frac_coords": [[0.751, 0.751, 0.796], [0.414, 0.414, 0.639], [0.067, 0.067, 0.793], [0.268, 0.268, 0.272]], "dos_at_fermi_per_ev_atom": 1.192, "e_form_raw_ev_per_atom": 0.4468, "energy_ev_per_atom": -4.6334}